Entry 1:
VASP calculation (PBE) on Sm5CdHg6 after structural relaxation.

Lattice parameters (Å, degrees): 5.300 7.610 8.295 90.00 71.37 90.00
Last column: magnetic moment on the atom in μB.
Positions (direct):
Hg  0.165  0.237  0.670  0.00
Sm  0.345  0.000  0.310  0.00
Sm  0.675  0.500  0.649  0.13
Hg  0.835  0.763  0.330  0.00
Hg  0.500  0.734  0.000  0.00
Cd  0.000  0.000  0.000  0.00
Sm  0.000  0.500  0.000  0.08
Sm  0.325  0.500  0.351  0.13
Hg  0.835  0.237  0.330  0.00
Hg  0.165  0.763  0.670  0.00
Hg  0.500  0.266  0.000  0.00
Sm  0.655  0.000  0.690  0.00

Calculated values
energy relative to the elements = -0.44 eV/atom



Entry 2:
VASP calculation (PBE) on V2Co4W after structural relaxation.

Lattice parameters (Å, degrees): 4.489 4.489 6.587 70.08 70.08 90.00
Last column: magnetic moment on the atom in μB.
Positions (direct):
V  0.592  0.592  0.816  -0.04
W  0.000  0.000  0.000  -0.04
Co  0.500  0.000  0.000  0.02
Co  0.000  0.500  0.000  0.02
V  0.408  0.408  0.184  -0.04
Co  0.799  0.799  0.402  1.31
Co  0.201  0.201  0.598  1.31

Calculated values
energy relative to the elements = 1.19 eV/atom



Entry 3:
VASP calculation (PBE) on Nd2MgTe after structural relaxation.

Lattice parameters (Å, degrees): 4.038 4.038 7.134 90.00 90.00 90.00
Positions (direct):
Nd  0.000  0.000  0.247
Te  0.500  0.500  0.000
Mg  0.500  0.500  0.500
Nd  0.000  0.000  0.753

Calculated values
ΔE_f (raw) = -0.6791 eV/atom



Entry 4:
VASP calculation (PBE) on AlCdW3 after structural relaxation.

Lattice parameters (Å, degrees): 4.590 4.590 4.590 90.00 90.00 90.00
Positions (direct):
Cd  0.500  0.500  0.500
Al  0.000  0.000  0.000
W  0.000  0.500  0.000
W  0.500  0.000  0.000
W  0.000  0.000  0.500

Calculated values
energy relative to the elements = 1.83 eV/atom



Entry 5:
VASP calculation (PBE) on Er3ZrNi8 after structural relaxation.

Lattice parameters (Å, degrees): 5.007 5.007 8.690 73.26 73.26 60.00
Positions (direct):
Ni  0.441  0.938  0.683
Ni  0.934  0.437  0.192
Ni  0.437  0.437  0.192
Er  0.501  0.501  0.498
Er  0.999  0.999  0.002
Er  0.375  0.375  0.875
Zr  0.875  0.875  0.374
Ni  0.938  0.441  0.683
Ni  0.938  0.938  0.683
Ni  0.437  0.934  0.192
Ni  0.187  0.187  0.438
Ni  0.688  0.688  0.937

Calculated values
energy relative to the elements = -0.46 eV/atom



Entry 6:
VASP calculation (PBE) on PbSeI after structural relaxation.

Lattice parameters (Å, degrees): 4.578 4.581 11.687 92.14 87.63 107.90
Positions (direct):
Pb  0.199  0.294  0.193
Se  0.416  0.087  0.914
Pb  0.801  0.706  0.807
I  0.191  0.315  0.656
Se  0.584  0.913  0.086
I  0.809  0.685  0.344

Calculated values
ΔE_f (raw) = -0.4470 eV/atom



Entry 7:
VASP calculation (PBE) on Sm2InSi after structural relaxation.

Lattice parameters (Å, degrees): 3.853 3.853 6.837 90.00 90.00 90.00
Positions (direct):
Sm  0.000  0.000  0.223
Si  0.500  0.500  0.000
Sm  0.000  0.000  0.777
In  0.500  0.500  0.500

Calculated values
ΔE_f (raw) = -0.4653 eV/atom



Entry 8:
VASP calculation (PBE) on ReOsCl2 after structural relaxation.

Lattice parameters (Å, degrees): 5.033 5.033 5.033 133.66 133.66 67.62
Last column: magnetic moment on the atom in μB.
Positions (direct):
Os  0.250  0.750  0.500  1.60
Cl  0.500  0.500  0.000  0.05
Re  0.750  0.250  0.500  -1.62
Cl  0.000  0.000  0.000  0.05

Calculated values
ΔE_f (raw) = 1.7288 eV/atom



Entry 9:
VASP calculation (PBE) on DyMg2Rh3 after structural relaxation.

Lattice parameters (Å, degrees): 4.559 4.559 5.598 90.00 90.00 120.00
Positions (direct):
Dy  0.000  0.000  0.000
Mg  0.333  0.667  0.657
Rh  0.000  0.000  0.500
Rh  0.667  0.333  0.823
Rh  0.333  0.667  0.177
Mg  0.667  0.333  0.343

Calculated values
energy relative to the elements = -0.66 eV/atom



Entry 10:
VASP calculation (PBE) on Re2Cl after structural relaxation.

Lattice parameters (Å, degrees): 4.178 4.178 2.748 90.00 90.00 90.00
Positions (direct):
Re  0.500  0.000  0.500
Re  0.000  0.500  0.500
Cl  0.000  0.000  0.000

Calculated values
ΔE_f (raw) = 2.0838 eV/atom



Entry 11:
VASP calculation (PBE) on Ti8AlPb2 after structural relaxation.

Lattice parameters (Å, degrees): 3.961 6.981 7.916 107.41 104.49 90.00
Positions (direct):
Al  0.500  0.000  0.000
Ti  0.044  0.753  0.088
Ti  0.325  0.073  0.651
Pb  0.218  0.653  0.437
Ti  0.873  0.821  0.745
Ti  0.127  0.179  0.255
Ti  0.675  0.927  0.349
Pb  0.782  0.347  0.563
Ti  0.956  0.247  0.912
Ti  0.422  0.562  0.843
Ti  0.578  0.438  0.157

Calculated values
energy relative to the elements = -0.10 eV/atom



Entry 12:
VASP calculation (PBE) on BaAl2Hg after structural relaxation.

Lattice parameters (Å, degrees): 5.248 5.248 10.076 74.90 74.90 90.00
Positions (direct):
Ba  0.250  0.750  0.500
Al  0.875  0.124  0.750
Hg  0.750  0.250  0.500
Ba  0.500  0.500  0.000
Al  0.375  0.126  0.750
Hg  0.000  0.000  0.000
Al  0.874  0.125  0.250
Al  0.876  0.625  0.250

Calculated values
energy relative to the elements = -0.10 eV/atom



Entry 13:
VASP calculation (PBE) on BaAlTc after structural relaxation.

Lattice parameters (Å, degrees): 5.208 5.208 5.208 60.00 60.00 60.00
Last column: magnetic moment on the atom in μB.
Positions (direct):
Al  0.500  0.500  0.500  -0.05
Ba  0.250  0.250  0.250  -0.03
Tc  0.000  0.000  0.000  2.71

Calculated values
energy relative to the elements = 1.66 eV/atom



Entry 14:
VASP calculation (PBE) on MgInMoPb2 after structural relaxation.

Lattice parameters (Å, degrees): 5.551 5.431 5.551 90.00 90.00 90.00
Last column: magnetic moment on the atom in μB.
Positions (direct):
Mo  0.000  0.000  0.000  0.68
Mg  0.500  0.500  0.500  0.02
Pb  0.000  0.000  0.500  -0.01
In  0.000  0.500  0.000  0.00
Pb  0.500  0.000  0.000  -0.03

Calculated values
energy relative to the elements = 0.52 eV/atom



Entry 15:
VASP calculation (PBE) on V4Pt12W after structural relaxation.

Lattice parameters (Å, degrees): 7.141 7.141 7.141 109.47 109.47 109.47
Last column: magnetic moment on the atom in μB.
Positions (direct):
Pt  0.250  0.500  0.750  -0.06
V  0.000  0.000  0.500  1.97
Pt  0.705  0.000  0.705  -0.05
Pt  0.750  0.500  0.250  -0.06
V  0.500  0.000  0.000  1.97
Pt  0.500  0.750  0.250  -0.06
V  0.500  0.500  0.500  1.97
Pt  0.000  0.295  0.295  -0.05
Pt  0.750  0.250  0.500  -0.06
Pt  0.500  0.250  0.750  -0.06
Pt  0.295  0.000  0.295  -0.05
V  0.000  0.500  0.000  1.97
Pt  0.000  0.705  0.705  -0.05
W  0.000  0.000  0.000  -0.09
Pt  0.295  0.295  0.000  -0.05
Pt  0.705  0.705  0.000  -0.05
Pt  0.250  0.750  0.500  -0.06

Calculated values
energy relative to the elements = -0.09 eV/atom



Entry 16:
VASP calculation (PBE) on Ba6Na2CuN after structural relaxation.

Lattice parameters (Å, degrees): 8.620 8.620 8.578 119.86 119.89 90.54
Positions (direct):
Ba  0.254  0.255  0.463
Ba  0.209  0.208  0.953
Ba  0.769  0.233  0.999
Na  0.750  0.251  0.500
Ba  0.745  0.746  0.537
Ba  0.231  0.767  0.000
Ba  0.790  0.793  0.046
N  0.000  0.000  0.000
Na  0.250  0.750  0.500
Cu  0.500  0.500  0.000

Calculated values
ΔE_f (raw) = -0.0849 eV/atom



Entry 17:
VASP calculation (PBE) on NpInSe after structural relaxation.

Lattice parameters (Å, degrees): 4.531 4.531 10.526 90.00 90.00 120.00
Last column: magnetic moment on the atom in μB.
Positions (direct):
In  0.667  0.333  0.043  -0.02
Np  0.000  0.000  0.229  3.91
Se  0.667  0.333  0.664  -0.10
Se  0.333  0.667  0.336  -0.10
Np  0.000  0.000  0.771  3.91
In  0.333  0.667  0.957  -0.02

Calculated values
ΔE_f (raw) = -0.3329 eV/atom



Entry 18:
VASP calculation (PBE) on Sm2BeAlNi6 after structural relaxation.

Lattice parameters (Å, degrees): 6.042 6.042 6.042 60.00 60.00 90.00
Positions (direct):
Ni  0.733  0.733  0.534
Be  0.500  0.500  0.000
Al  0.000  0.000  0.000
Ni  0.733  0.267  0.000
Sm  0.750  0.250  0.500
Ni  0.733  0.733  0.000
Sm  0.250  0.750  0.500
Ni  0.267  0.267  0.466
Ni  0.267  0.733  0.000
Ni  0.267  0.267  0.000

Calculated values
energy relative to the elements = -0.15 eV/atom



Entry 19:
VASP calculation (PBE) on FeCu2Hg after structural relaxation.

Lattice parameters (Å, degrees): 2.837 2.837 7.247 90.00 90.00 90.05
Last column: magnetic moment on the atom in μB.
Positions (direct):
Fe  0.500  0.500  0.250  2.74
Cu  0.000  0.000  0.468  0.06
Cu  0.000  0.000  0.032  0.06
Hg  0.500  0.500  0.750  -0.01

Calculated values
energy relative to the elements = 0.26 eV/atom



Entry 20:
VASP calculation (PBE) on Sm8TlPb5 after structural relaxation.

Lattice parameters (Å, degrees): 8.304 8.304 8.304 109.53 109.36 109.53
Positions (direct):
Sm  0.763  0.248  0.373
Pb  0.873  0.874  0.249
Sm  0.984  0.112  0.736
Sm  0.484  0.609  0.237
Pb  0.001  0.376  0.127
Pb  0.375  0.126  0.999
Sm  0.264  0.248  0.376
Pb  0.500  0.000  0.500
Sm  0.624  0.888  0.872
Sm  0.125  0.752  0.516
Sm  0.627  0.391  0.875
Sm  0.128  0.752  0.016
Tl  0.250  0.500  0.750
Pb  0.751  0.624  0.625

Calculated values
energy relative to the elements = -0.52 eV/atom



Entry 21:
VASP calculation (PBE) on K3Sr2PuO6 after structural relaxation.

Lattice parameters (Å, degrees): 6.309 6.309 6.602 99.26 99.26 119.99
Last column: magnetic moment on the atom in μB.
Positions (direct):
Sr  0.667  0.333  0.000  0.00
Sr  0.333  0.667  0.000  0.00
O  0.354  0.064  0.193  -0.06
O  0.775  0.775  0.190  -0.06
K  0.500  0.500  0.500  0.00
O  0.225  0.225  0.810  -0.06
O  0.064  0.354  0.193  -0.06
O  0.936  0.646  0.807  -0.06
O  0.646  0.936  0.807  -0.06
Pu  0.000  0.000  0.000  3.38
K  0.835  0.165  0.500  0.00
K  0.165  0.835  0.500  0.00

Calculated values
ΔE_f (raw) = -2.3656 eV/atom



Entry 22:
VASP calculation (PBE) on Mg3Zn9Pt2 after structural relaxation.

Lattice parameters (Å, degrees): 4.289 7.946 7.946 66.27 74.34 74.34
Positions (direct):
Zn  0.322  0.321  0.034
Mg  0.689  0.311  0.311
Mg  0.311  0.689  0.689
Zn  0.876  0.393  0.855
Pt  0.500  0.684  0.316
Zn  0.322  0.034  0.321
Zn  0.124  0.607  0.145
Zn  0.876  0.855  0.393
Zn  0.124  0.145  0.607
Zn  0.000  0.500  0.500
Mg  0.000  0.000  0.000
Pt  0.500  0.316  0.684
Zn  0.678  0.966  0.679
Zn  0.678  0.679  0.966

Calculated values
energy relative to the elements = -0.24 eV/atom



Entry 23:
VASP calculation (PBE) on K2PtSe after structural relaxation.

Lattice parameters (Å, degrees): 6.158 6.158 2.811 90.00 90.00 90.00
Positions (direct):
K  0.000  0.000  0.000
K  0.500  0.500  0.000
Se  0.000  0.500  0.500
Pt  0.500  0.000  0.500

Calculated values
ΔE_f (raw) = -0.2240 eV/atom



Entry 24:
VASP calculation (PBE) on Ba4HI2N after structural relaxation.

Lattice parameters (Å, degrees): 4.385 7.474 8.582 105.45 90.00 90.00
Last column: magnetic moment on the atom in μB.
Positions (direct):
Ba  0.500  0.262  0.189  0.16
N  0.500  0.500  0.000  -0.04
Ba  0.500  0.738  0.811  0.16
Ba  0.000  0.279  0.823  0.11
I  0.500  0.000  0.500  0.00
I  0.000  0.500  0.500  0.00
H  0.000  0.000  0.000  -0.01
Ba  0.000  0.721  0.177  0.11

Calculated values
electronic total energy = -3.676 eV/atom



Entry 25:
VASP calculation (PBE) on Nd5Y2Bi4 after structural relaxation.

Lattice parameters (Å, degrees): 4.375 6.285 14.650 98.64 107.53 69.55
Positions (direct):
Nd  0.500  0.000  0.000
Nd  0.865  0.862  0.294
Bi  0.616  0.424  0.323
Nd  0.647  0.741  0.526
Y  0.999  0.685  0.844
Y  0.001  0.315  0.156
Bi  0.252  0.707  0.104
Nd  0.353  0.259  0.474
Nd  0.135  0.138  0.706
Bi  0.384  0.576  0.677
Bi  0.748  0.293  0.896

Calculated values
energy relative to the elements = -0.55 eV/atom